[1]
DFT (PBE-GGA) results for a relaxed PmZnRh2 crystal.

```
data_PmZnRh2
_space_group_name_H-M_alt 'P 4/m m m'
_space_group_IT_number 123
_space_group_name_Hall '-P 4 2'
_cell_length_a 3.3279
_cell_length_b 3.3279
_cell_length_c 6.3740
_cell_angle_alpha 90.00
_cell_angle_beta 90.00
_cell_angle_gamma 90.00
loop_
_atom_site_label
_atom_site_fract_x
_atom_site_fract_y
_atom_site_fract_z
Pm1 0.0000 0.0000 0.0000
Zn1 0.0000 0.0000 0.5000
Rh1 0.5000 0.5000 0.2839
```

***

[2]
DFT (PBE-GGA) results for a relaxed Pm2ZnRh crystal.

Energy relative to the lowest polymorph listed for this composition, eV/atom: 0.043

```
data_Pm2ZnRh
_space_group_name_H-M_alt 'P 4/m m m'
_space_group_IT_number 123
_space_group_name_Hall '-P 4 2'
_cell_length_a 3.6074
_cell_length_b 3.6074
_cell_length_c 7.0992
_cell_angle_alpha 90.00
_cell_angle_beta 90.00
_cell_angle_gamma 90.00
loop_
_atom_site_label
_atom_site_fract_x
_atom_site_fract_y
_atom_site_fract_z
Pm1 0.0000 0.0000 0.2373
Zn1 0.5000 0.5000 0.5000
Rh1 0.5000 0.5000 0.0000
```

***

The evaluated V for the records listed, in turn: 71 92 Å³/cell.
The evaluated energy relative to the elements for the records listed, in turn: -2.0 -2.0 eV per formula unit.
The evaluated D(E_F) for the records listed, in turn: 0.520 0.697 states/eV/atom.